Record 1
A geometry-optimized HgIr2Pd structure, computed with PBE-GGA.

a b c (Å): 10.0149 10.0149 10.0149
angles (deg): 157.79 157.79 31.62
With the nearest neighbours (Å) after each atom.
Atoms (fractional coordinates):
Hg1 0.0000 0.0000 0.0000  4 Pd 2.73, 4 Ir 2.84
Hg2 0.7500 0.2500 0.5000  4 Pd 2.73, 4 Ir 2.84
Ir1 0.1719 0.6250 0.0469  2 Ir 2.49, 2 Pd 2.71
Ir2 0.3750 0.4219 0.5469  2 Ir 2.49, 2 Pd 2.71
Ir3 0.5781 0.1250 0.9531  2 Ir 2.49, 2 Pd 2.71
Ir4 0.8750 0.8281 0.4531  2 Ir 2.49, 2 Pd 2.71
Pd1 0.2500 0.7500 0.5000  4 Ir 2.71, 4 Hg 2.73
Pd2 0.5000 0.5000 0.0000  4 Ir 2.71, 4 Hg 2.73

Results
formation energy from the elements = 641 meV/atom
theoretical density = 16008 kg/m³
symmetry = I-42d, No. 122
volume = 143 Å³/cell

---

Record 2
A geometry-optimized HgIr2Pd2 structure, computed with PBE-GGA.

a b c (Å): 7.7519 7.7519 2.8111
angles (deg): 90.00 90.00 90.00
With the nearest neighbours (Å) after each atom.
Atoms (fractional coordinates):
Hg1 0.0000 0.0000 0.0000  2 Hg 2.81, 4 Ir 3.10
Hg2 0.5000 0.5000 0.0000  2 Hg 2.81, 4 Ir 3.10
Ir1 0.1183 0.3817 0.0000  3 Ir 2.59-2.81, 6 Pd 2.62-2.74
Ir2 0.3817 0.8817 0.0000  3 Ir 2.59-2.81, 6 Pd 2.62-2.74
Ir3 0.6183 0.1183 0.0000  3 Ir 2.59-2.81, 6 Pd 2.62-2.74
Ir4 0.8817 0.6183 0.0000  3 Ir 2.59-2.81, 6 Pd 2.62-2.74
Pd1 0.1796 0.6796 0.5000  6 Ir 2.62-2.74, 2 Pd 2.81
Pd2 0.3204 0.1796 0.5000  6 Ir 2.62-2.74, 2 Pd 2.81
Pd3 0.6796 0.8204 0.5000  6 Ir 2.62-2.74, 2 Pd 2.81
Pd4 0.8204 0.3204 0.5000  6 Ir 2.62-2.74, 2 Pd 2.81

Results
formation energy from the elements = 377 meV/atom
theoretical density = 15686 kg/m³
symmetry = P4/mbm, No. 127
volume = 169 Å³/cell

---

Record 3
A geometry-optimized Pr5Hg2Ir2Pd structure, computed with PBE-GGA.

a b c (Å): 11.9696 11.9696 3.8091
angles (deg): 90.00 90.00 90.00
With the nearest neighbours (Å) after each atom.
Atoms (fractional coordinates):
Pr1 0.0000 0.5000 0.0000  4 Ir 2.96
Pr2 0.0855 0.1944 0.0000  2 Ir 2.86, 2 Pd 3.18
Pr3 0.1944 0.9145 0.0000  2 Ir 2.86, 2 Pd 3.18
Pr4 0.3056 0.4145 0.0000  2 Ir 2.86, 2 Pd 3.18
Pr5 0.4145 0.6944 0.0000  2 Ir 2.86, 2 Pd 3.18
Pr6 0.5000 0.0000 0.0000  4 Ir 2.96
Pr7 0.5855 0.3056 0.0000  2 Ir 2.86, 2 Pd 3.18
Pr8 0.6944 0.5855 0.0000  2 Ir 2.86, 2 Pd 3.18
Pr9 0.8056 0.0855 0.0000  2 Ir 2.86, 2 Pd 3.18
Pr10 0.9145 0.8056 0.0000  2 Ir 2.86, 2 Pd 3.18
Hg1 0.1719 0.6719 0.5000  1 Ir 3.29, 6 Pr 3.48
Hg2 0.3281 0.1719 0.5000  1 Ir 3.29, 6 Pr 3.48
Hg3 0.6719 0.8281 0.5000  1 Ir 3.29, 6 Pr 3.48
Hg4 0.8281 0.3281 0.5000  1 Ir 3.29, 6 Pr 3.48
Ir1 0.1340 0.3660 0.5000  6 Pr 2.86-2.96
Ir2 0.3660 0.8660 0.5000  6 Pr 2.86-2.96
Ir3 0.6340 0.1340 0.5000  6 Pr 2.86-2.96
Ir4 0.8660 0.6340 0.5000  6 Pr 2.86-2.96
Pd1 0.0000 0.0000 0.5000  8 Pr 3.18
Pd2 0.5000 0.5000 0.5000  8 Pr 3.18

Results
formation energy from the elements = -503 meV/atom
theoretical density = 9716 kg/m³
symmetry = P4/mbm, No. 127
volume = 546 Å³/cell

---

Record 4
A geometry-optimized ScHgIrPd structure, computed with PBE-GGA.

a b c (Å): 4.6210 4.6210 4.6210
angles (deg): 60.00 60.00 60.00
With the nearest neighbours (Å) after each atom.
Atoms (fractional coordinates):
Sc1 0.0000 0.0000 0.0000  4 Ir 2.83, 4 Pd 2.83
Hg1 0.5000 0.5000 0.5000  4 Pd 2.83, 4 Ir 2.83
Ir1 0.2500 0.2500 0.2500  4 Hg 2.83, 4 Sc 2.83
Pd1 0.7500 0.7500 0.7500  4 Hg 2.83, 4 Sc 2.83

Results
formation energy from the elements = -460 meV/atom
theoretical density = 12951 kg/m³
symmetry = F-43m, No. 216
volume = 70 Å³/cell

---

Record 5
A geometry-optimized Hg2Ir2PdSe6 structure, computed with PBE-GGA.

a b c (Å): 6.5082 6.5082 7.6680
angles (deg): 99.73 99.73 119.64
With the nearest neighbours (Å) after each atom.
Atoms (fractional coordinates):
Hg1 0.1741 0.8259 0.0000  6 Se 3.00-3.33
Hg2 0.8259 0.1741 0.0000  6 Se 3.00-3.33
Ir1 0.3314 0.6686 0.5000  6 Se 2.49-2.54
Ir2 0.6686 0.3314 0.5000  6 Se 2.49-2.54
Pd1 0.0000 0.0000 0.5000  6 Se 2.53-2.60
Se1 0.0709 0.4155 0.6813  2 Ir 2.49-2.52, 1 Pd 2.60
Se2 0.2634 0.2634 0.3231  1 Pd 2.53, 2 Ir 2.54
Se3 0.4155 0.0709 0.6813  2 Ir 2.49-2.52, 1 Pd 2.60
Se4 0.5845 0.9291 0.3187  2 Ir 2.49-2.52, 1 Pd 2.60
Se5 0.7366 0.7366 0.6769  1 Pd 2.53, 2 Ir 2.54
Se6 0.9291 0.5845 0.3187  2 Ir 2.49-2.52, 1 Pd 2.60

Results
theoretical density = 8530 kg/m³
symmetry = C2/m, No. 12
energy relative to the elements, uncorrected = -0.22 eV/atom
volume = 266 Å³/cell

---

Record 6
A geometry-optimized Sn2HgIrPd structure, computed with PBE-GGA.

a b c (Å): 5.0691 5.0691 5.0410
angles (deg): 90.00 90.00 90.00
With the nearest neighbours (Å) after each atom.
Atoms (fractional coordinates):
Sn1 0.0000 0.5000 0.0000  2 Pd 2.53
Sn2 0.5000 0.0000 0.0000  2 Pd 2.53
Hg1 0.0000 0.0000 0.5000  8 Sn 3.57, 4 Ir 3.58
Ir1 0.5000 0.5000 0.5000  2 Pd 2.52
Pd1 0.5000 0.5000 0.0000  2 Ir 2.52, 4 Sn 2.53

Results
formation energy from the elements = 704 meV/atom
theoretical density = 9443 kg/m³
symmetry = P4/mmm, No. 123
volume = 130 Å³/cell

---

Record 7
A geometry-optimized TaHgIr2Pd structure, computed with PBE-GGA.

a b c (Å): 4.7946 4.7946 4.8797
angles (deg): 90.00 90.00 90.00
With the nearest neighbours (Å) after each atom.
Atoms (fractional coordinates):
Ta1 0.0000 0.0000 0.0000  4 Ir 2.40, 2 Pd 2.44
Hg1 0.5000 0.5000 0.5000  4 Pd 3.39, 8 Ir 3.42
Ir1 0.0000 0.5000 0.0000  2 Ta 2.40
Ir2 0.5000 0.0000 0.0000  2 Ta 2.40
Pd1 0.0000 0.0000 0.5000  2 Ta 2.44

Results
formation energy from the elements = 1150 meV/atom
theoretical density = 12914 kg/m³
symmetry = P4/mmm, No. 123
volume = 112 Å³/cell

---

Record 8
A geometry-optimized ThHgIrPd structure, computed with PBE-GGA.

a b c (Å): 4.8951 4.8951 4.8951
angles (deg): 60.00 60.00 60.00
With the nearest neighbours (Å) after each atom.
Atoms (fractional coordinates):
Th1 0.0000 0.0000 0.0000  4 Ir 3.00, 4 Pd 3.00
Hg1 0.5000 0.5000 0.5000  4 Ir 3.00, 4 Pd 3.00
Ir1 0.2500 0.2500 0.2500  4 Hg 3.00, 4 Th 3.00
Pd1 0.7500 0.7500 0.7500  4 Hg 3.00, 4 Th 3.00

Results
formation energy from the elements = -485 meV/atom
theoretical density = 14640 kg/m³
symmetry = F-43m, No. 216
volume = 83 Å³/cell

---

Record 9
A geometry-optimized TmHgIrPd structure, computed with PBE-GGA.

a b c (Å): 4.7240 4.7240 4.7240
angles (deg): 60.00 60.00 60.00
With the nearest neighbours (Å) after each atom.
Atoms (fractional coordinates):
Tm1 0.0000 0.0000 0.0000  4 Ir 2.89, 4 Pd 2.89
Hg1 0.5000 0.5000 0.5000  4 Ir 2.89, 4 Pd 2.89
Ir1 0.7500 0.7500 0.7500  4 Hg 2.89, 4 Tm 2.89
Pd1 0.2500 0.2500 0.2500  4 Hg 2.89, 4 Tm 2.89

Results
formation energy from the elements = -483 meV/atom
theoretical density = 14884 kg/m³
symmetry = F-43m, No. 216
volume = 75 Å³/cell

---

Record 10
A geometry-optimized ZrHgIrPd structure, computed with PBE-GGA.

a b c (Å): 4.6635 4.6635 4.6635
angles (deg): 60.00 60.00 60.00
With the nearest neighbours (Å) after each atom.
Atoms (fractional coordinates):
Zr1 0.0000 0.0000 0.0000  4 Ir 2.86, 4 Pd 2.86
Hg1 0.5000 0.5000 0.5000  4 Ir 2.86, 4 Pd 2.86
Ir1 0.2500 0.2500 0.2500  4 Zr 2.86, 4 Hg 2.86
Pd1 0.7500 0.7500 0.7500  4 Hg 2.86, 4 Zr 2.86

Results
formation energy from the elements = -400 meV/atom
theoretical density = 13672 kg/m³
symmetry = F-43m, No. 216
volume = 72 Å³/cell

---

Record 11
A geometry-optimized Pm3HgIr2 structure, computed with PBE-GGA.

a b c (Å): 3.5935 3.5935 11.0854
angles (deg): 90.00 90.00 90.00
With the nearest neighbours (Å) after each atom.
Atoms (fractional coordinates):
Pm1 0.0000 0.0000 0.0000  8 Ir 3.10, 2 Pm 3.39
Pm2 0.0000 0.0000 0.3055  4 Ir 3.01, 4 Hg 3.33
Pm3 0.0000 0.0000 0.6945  4 Ir 3.01, 4 Hg 3.33
Hg1 0.5000 0.5000 0.5000  8 Pm 3.33, 4 Hg 3.59
Ir1 0.5000 0.5000 0.1596  8 Pm 3.01-3.10
Ir2 0.5000 0.5000 0.8404  8 Pm 3.01-3.10

Results
formation energy from the elements = -602 meV/atom
theoretical density = 11832 kg/m³
symmetry = P4/mmm, No. 123
volume = 143 Å³/cell

---

Record 12
A geometry-optimized Pm6Hg2Ir structure, computed with PBE-GGA.

a b c (Å): 7.1272 7.5343 12.6066
angles (deg): 90.00 122.78 90.00
With the nearest neighbours (Å) after each atom.
Atoms (fractional coordinates):
Pm1 0.1307 0.1964 0.4478  1 Ir 2.77
Pm2 0.1307 0.3036 0.9478  1 Ir 2.77
Pm3 0.2551 0.6869 0.4449  1 Ir 2.79
Pm4 0.2551 0.8131 0.9449  1 Ir 2.79
Pm5 0.3671 0.0128 0.2464  1 Ir 2.80, 1 Hg 3.13
Pm6 0.3671 0.4872 0.7464  1 Ir 2.80, 1 Hg 3.13
Pm7 0.6329 0.5128 0.2536  1 Ir 2.80, 1 Hg 3.13
Pm8 0.6329 0.9872 0.7536  1 Ir 2.80, 1 Hg 3.13
Pm9 0.7449 0.1869 0.0551  1 Ir 2.79
Pm10 0.7449 0.3131 0.5551  1 Ir 2.79
Pm11 0.8693 0.6964 0.0522  1 Ir 2.77
Pm12 0.8693 0.8036 0.5522  1 Ir 2.77
Hg1 0.1987 0.0935 0.7425  6 Pm 3.13-3.29
Hg2 0.1987 0.4065 0.2425  6 Pm 3.13-3.29
Hg3 0.8013 0.5935 0.7575  6 Pm 3.13-3.29
Hg4 0.8013 0.9065 0.2575  6 Pm 3.13-3.29
Ir1 0.5000 0.0000 0.5000  6 Pm 2.77-2.80
Ir2 0.5000 0.5000 0.0000  6 Pm 2.77-2.80

Results
formation energy from the elements = -342 meV/atom
theoretical density = 8540 kg/m³
symmetry = P2_1/c, No. 14
volume = 569 Å³/cell

---

Record 13
A geometry-optimized Pm7HgIr4 structure, computed with PBE-GGA.

a b c (Å): 7.5115 7.5115 9.9938
angles (deg): 122.95 122.95 43.62
With the nearest neighbours (Å) after each atom.
Atoms (fractional coordinates):
Pm1 0.0000 0.0000 0.0000  2 Hg 2.79, 4 Ir 2.87-2.88
Pm2 0.1705 0.1705 0.6158  1 Ir 2.73
Pm3 0.2900 0.2900 0.1253  4 Ir 2.97-3.22, 1 Pm 3.26
Pm4 0.4218 0.4218 0.6369  1 Ir 2.73
Pm5 0.5782 0.5782 0.3631  1 Ir 2.73
Pm6 0.7100 0.7100 0.8747  4 Ir 2.97-3.22, 1 Pm 3.26
Pm7 0.8295 0.8295 0.3842  1 Ir 2.73
Hg1 0.5000 0.5000 0.0000  4 Pm 2.79-3.12
Ir1 0.0683 0.0683 0.7796  3 Pm 2.73-3.00
Ir2 0.2059 0.2059 0.3382  3 Pm 2.73-2.97
Ir3 0.7941 0.7941 0.6618  3 Pm 2.73-2.97
Ir4 0.9317 0.9317 0.2204  3 Pm 2.73-3.00

Results
formation energy from the elements = -408 meV/atom
theoretical density = 10454 kg/m³
symmetry = C2/m, No. 12
volume = 315 Å³/cell

---

Record 14
A geometry-optimized Pm5Hg2Ir2 structure, computed with PBE-GGA.

a b c (Å): 8.9146 8.9146 7.9311
angles (deg): 90.00 90.00 51.00
With the nearest neighbours (Å) after each atom.
Atoms (fractional coordinates):
Pm1 0.0000 0.0000 0.0000  4 Ir 3.03-3.09
Pm2 0.0493 0.7091 0.6721  3 Ir 2.93-3.10, 3 Hg 3.24-3.27
Pm3 0.2091 0.5493 0.1721  3 Ir 2.93-3.10, 3 Hg 3.24-3.27
Pm4 0.2909 0.9507 0.6721  3 Ir 2.93-3.10, 3 Hg 3.24-3.27
Pm5 0.4507 0.7909 0.1721  3 Ir 2.93-3.10, 3 Hg 3.24-3.27
Pm6 0.5000 0.5000 0.5000  4 Ir 3.03-3.09
Pm7 0.5493 0.2091 0.8279  3 Ir 2.93-3.10, 3 Hg 3.24-3.27
Pm8 0.7091 0.0493 0.3279  3 Ir 2.93-3.10, 3 Hg 3.24-3.27
Pm9 0.7909 0.4507 0.8279  3 Ir 2.93-3.10, 3 Hg 3.24-3.27
Pm10 0.9507 0.2909 0.3279  3 Ir 2.93-3.10, 3 Hg 3.24-3.27
Hg1 0.2137 0.2137 0.0000  7 Pm 3.24-3.44
Hg2 0.2863 0.2863 0.5000  7 Pm 3.24-3.44
Hg3 0.7137 0.7137 0.5000  7 Pm 3.24-3.44
Hg4 0.7863 0.7863 0.0000  7 Pm 3.24-3.44
Ir1 0.1293 0.8707 0.3695  1 Ir 2.87, 8 Pm 2.93-3.10
Ir2 0.3707 0.6293 0.8695  1 Ir 2.87, 8 Pm 2.93-3.10
Ir3 0.6293 0.3707 0.1305  1 Ir 2.87, 8 Pm 2.93-3.10
Ir4 0.8707 0.1293 0.6305  1 Ir 2.87, 8 Pm 2.93-3.10

Results
formation energy from the elements = -587 meV/atom
theoretical density = 10242 kg/m³
symmetry = Cmce, No. 64
volume = 490 Å³/cell

---

Record 15
A geometry-optimized Pm6Hg3Ir structure, computed with PBE-GGA.

a b c (Å): 8.5378 8.5378 8.5378
angles (deg): 93.08 93.08 93.08
With the nearest neighbours (Å) after each atom.
Atoms (fractional coordinates):
Pm1 0.0393 0.9209 0.6856  1 Ir 2.78
Pm2 0.0791 0.3144 0.9607  1 Ir 2.78
Pm3 0.1856 0.4209 0.5393  1 Ir 2.78
Pm4 0.3144 0.9607 0.0791  1 Ir 2.78
Pm5 0.4209 0.5393 0.1856  1 Ir 2.78
Pm6 0.4607 0.8144 0.5791  1 Ir 2.78
Pm7 0.5393 0.1856 0.4209  1 Ir 2.78
Pm8 0.5791 0.4607 0.8144  1 Ir 2.78
Pm9 0.6856 0.0393 0.9209  1 Ir 2.78
Pm10 0.8144 0.5791 0.4607  1 Ir 2.78
Pm11 0.9209 0.6856 0.0393  1 Ir 2.78
Pm12 0.9607 0.0791 0.3144  1 Ir 2.78
Hg1 0.1474 0.7500 0.3526  8 Pm 3.22-3.36
Hg2 0.2500 0.6474 0.8526  8 Pm 3.22-3.36
Hg3 0.3526 0.1474 0.7500  8 Pm 3.22-3.36
Hg4 0.6474 0.8526 0.2500  8 Pm 3.22-3.36
Hg5 0.7500 0.3526 0.1474  8 Pm 3.22-3.36
Hg6 0.8526 0.2500 0.6474  8 Pm 3.22-3.36
Ir1 0.0000 0.0000 0.0000  6 Pm 2.78
Ir2 0.5000 0.5000 0.5000  6 Pm 2.78

Results
formation energy from the elements = -348 meV/atom
theoretical density = 8920 kg/m³
symmetry = R-3c, No. 167
volume = 620 Å³/cell

---

Record 16
A geometry-optimized Pm12Hg6Ir structure, computed with PBE-GGA.

a b c (Å): 8.4348 8.4348 8.4348
angles (deg): 94.05 94.05 94.05
With the nearest neighbours (Å) after each atom.
Atoms (fractional coordinates):
Pm1 0.0422 0.9282 0.7001  4 Hg 3.14-3.33
Pm2 0.0718 0.2999 0.9578  4 Hg 3.14-3.33
Pm3 0.1830 0.4110 0.5334  1 Ir 2.76
Pm4 0.2999 0.9578 0.0718  4 Hg 3.14-3.33
Pm5 0.4110 0.5334 0.1830  1 Ir 2.76
Pm6 0.4666 0.8170 0.5890  1 Ir 2.76
Pm7 0.5334 0.1830 0.4110  1 Ir 2.76
Pm8 0.5890 0.4666 0.8170  1 Ir 2.76
Pm9 0.7001 0.0422 0.9282  4 Hg 3.14-3.33
Pm10 0.8170 0.5890 0.4666  1 Ir 2.76
Pm11 0.9282 0.7001 0.0422  4 Hg 3.14-3.33
Pm12 0.9578 0.0718 0.2999  4 Hg 3.14-3.33
Hg1 0.1510 0.7643 0.3578  8 Pm 3.14-3.44
Hg2 0.2357 0.6422 0.8490  8 Pm 3.14-3.44
Hg3 0.3578 0.1510 0.7643  8 Pm 3.14-3.44
Hg4 0.6422 0.8490 0.2357  8 Pm 3.14-3.44
Hg5 0.7643 0.3578 0.1510  8 Pm 3.14-3.44
Hg6 0.8490 0.2357 0.6422  8 Pm 3.14-3.44
Ir1 0.5000 0.5000 0.5000  6 Pm 2.76

Results
formation energy from the elements = -280 meV/atom
theoretical density = 8746 kg/m³
symmetry = R-3, No. 148
volume = 595 Å³/cell

---

Record 17
A geometry-optimized Pm4HgIr structure, computed with PBE-GGA.

a b c (Å): 9.8528 9.8528 9.8528
angles (deg): 60.00 60.00 60.00
With the nearest neighbours (Å) after each atom.
Atoms (fractional coordinates):
Pm1 0.1891 0.1891 0.8109  2 Hg 3.29, 6 Pm 3.54-3.68, 2 Ir 3.54
Pm2 0.1891 0.8109 0.1891  2 Hg 3.29, 6 Pm 3.54-3.68, 2 Ir 3.54
Pm3 0.1891 0.8109 0.8109  2 Hg 3.29, 6 Pm 3.54-3.68, 2 Ir 3.54
Pm4 0.3999 0.3999 0.3999  3 Ir 2.91
Pm5 0.3999 0.3999 0.8002  3 Ir 2.91
Pm6 0.3999 0.8002 0.3999  3 Ir 2.91
Pm7 0.5591 0.5591 0.9409  2 Ir 2.88
Pm8 0.5591 0.9409 0.5591  2 Ir 2.88
Pm9 0.5591 0.9409 0.9409  2 Ir 2.88
Pm10 0.8002 0.3999 0.3999  3 Ir 2.91
Pm11 0.8109 0.1891 0.1891  2 Hg 3.29, 6 Pm 3.54-3.68, 2 Ir 3.54
Pm12 0.8109 0.1891 0.8109  2 Hg 3.29, 6 Pm 3.54-3.68, 2 Ir 3.54
Pm13 0.8109 0.8109 0.1891  2 Hg 3.29, 6 Pm 3.54-3.68, 2 Ir 3.54
Pm14 0.9409 0.5591 0.5591  2 Ir 2.88
Pm15 0.9409 0.5591 0.9409  2 Ir 2.88
Pm16 0.9409 0.9409 0.5591  2 Ir 2.88
Hg1 0.1662 0.1662 0.1662  9 Pm 3.29-3.55, 3 Hg 3.30
Hg2 0.1662 0.1662 0.5016  9 Pm 3.29-3.55, 3 Hg 3.30
Hg3 0.1662 0.5016 0.1662  9 Pm 3.29-3.55, 3 Hg 3.30
Hg4 0.5016 0.1662 0.1662  9 Pm 3.29-3.55, 3 Hg 3.30
Ir1 0.1755 0.6082 0.6082  6 Pm 2.88-2.91
Ir2 0.6082 0.1755 0.6082  6 Pm 2.88-2.91
Ir3 0.6082 0.6082 0.1755  6 Pm 2.88-2.91
Ir4 0.6082 0.6082 0.6082  6 Pm 2.88-2.91

Results
formation energy from the elements = -507 meV/atom
theoretical density = 9554 kg/m³
symmetry = F-43m, No. 216
energy relative to the lowest polymorph listed for this composition = 0.0 meV/atom
volume = 676 Å³/cell

---

Record 18
A geometry-optimized PmHgIr2 structure, computed with PBE-GGA.

a b c (Å): 4.3499 4.3499 4.0267
angles (deg): 90.00 90.00 90.00
With the nearest neighbours (Å) after each atom.
Atoms (fractional coordinates):
Pm1 0.0000 0.0000 0.0000  8 Ir 2.96, 4 Hg 3.08
Hg1 0.5000 0.5000 0.0000  8 Ir 2.96, 4 Pm 3.08
Ir1 0.0000 0.5000 0.5000  4 Hg 2.96, 4 Pm 2.96, 4 Ir 3.08
Ir2 0.5000 0.0000 0.5000  4 Hg 2.96, 4 Pm 2.96, 4 Ir 3.08

Results
formation energy from the elements = -166 meV/atom
theoretical density = 15910 kg/m³
symmetry = P4/mmm, No. 123
volume = 76 Å³/cell